Density functional theory data (GGA-PBE) for a relaxed structure of Tm2U2S7.

Computed properties:
Symmetry ... Imm2 (44)
Polymorph energy (0 for the lowest one) ... 0.0000 eV/atom
Raw formation energy ... -1.648 eV per atom
Volume ... 228.3 Å³/f.u.

Cell: 8.3592 8.3592 8.3592 Å, 153.24 68.05 118.75°
Last column: nearest neighbours and their distance in Å.
Element x y z (fractional)
Tm1 0.0000 0.0000 0.0000  7 S 2.69-2.83
Tm2 0.5349 0.0349 0.5000  8 S 2.69-2.93
U1 0.4807 0.2392 0.2415  7 S 2.68-2.91
U2 0.9977 0.2392 0.7585  7 S 2.68-2.91
S1 0.1842 0.5451 0.6391  2 Tm 2.76, 3 U 2.91-3.09
S2 0.2522 0.9368 0.3154  3 U 2.68-2.77, 1 Tm 2.69
S3 0.3155 0.3155 0.0000  3 Tm 2.69
S4 0.6106 0.7206 0.8900  3 Tm 2.83-2.93, 2 U 2.83, 1 S 3.05
S5 0.6214 0.9368 0.6846  3 U 2.68-2.77, 1 Tm 2.69
S6 0.8306 0.7206 0.1100  3 Tm 2.83-2.93, 2 U 2.83, 1 S 3.05
S7 0.9060 0.5451 0.3609  2 Tm 2.76, 3 U 2.91-3.09